No. 1
First-principles (PBE) data for a geometry-optimized Pm2PaPb structure, as listed in Alexandria via LeMat-Bulk.

Values from the calculation:
**Size of the total moment**: 0.001 μB per cell
**Total energy**: -5.74 eV/atom
**DFT formation energy**: -0.06 eV per atom
**Symmetry**: P4/mmm

Cell lengths 4.6097, 4.9844, 4.9844 Å; angles 90.00, 90.00, 90.00 degrees
Atoms (fractional coordinates):
Pb  0.5000  0.0000  0.0000
Pa  0.5000  0.5000  0.5000
Pm  0.0000  0.0000  0.5000
Pm  0.0000  0.5000  0.0000

---

No. 2
First-principles (PBE) data for a geometry-optimized CaGaBr3 structure, as listed in Alexandria via LeMat-Bulk.

Values from the calculation:
**Size of the total moment**: 0.000 μB per cell
**Total energy**: -3.38 eV/atom
**Uncorrected formation energy**: -1.369 eV/atom
**Symmetry**: C2/m

Cell lengths 4.2250, 10.3384, 9.4243 Å; angles 108.00, 102.95, 90.00 degrees
Atoms (fractional coordinates):
Ca  0.6463  0.3444  0.2925
Ca  0.3537  0.6556  0.7075
Ga  0.8582  0.1266  0.7164
Ga  0.1418  0.8734  0.2836
Br  0.0388  0.2259  0.0775
Br  0.9612  0.7741  0.9225
Br  0.3212  0.9203  0.6424
Br  0.6788  0.0797  0.3576
Br  0.1824  0.5620  0.3649
Br  0.8176  0.4380  0.6351